This record from Alexandria describes a relaxed structure of Fe3Co2TeP6O24. The functional is PBE with a Hubbard U.

Cell and atoms, written as extended XYZ:
```
36
Lattice="8.567 -0.009 -0.006 4.140 7.500 -0.006 4.140 2.441 7.092" Properties=species:S:1:pos:R:3 pbc="T T T"
Fe 5.961 3.514 2.505
Fe 2.447 1.442 1.028
Fe 10.856 6.400 4.562
Co 0.090 0.053 0.038
Co 8.407 4.956 3.533
Te 14.400 8.489 6.051
P 7.124 5.723 0.368
P 8.457 1.477 3.153
P 5.387 5.161 5.290
P 11.449 4.664 1.802
P 8.366 8.456 3.821
P 9.624 4.235 6.747
O 11.625 7.901 3.581
O 12.542 5.455 4.831
O 10.846 7.285 6.301
O 6.171 6.963 0.397
O 8.612 6.195 0.233
O 7.124 5.046 1.759
O 9.080 1.037 1.788
O 7.864 2.899 3.009
O 10.860 3.356 1.292
O 6.345 4.631 4.196
O 11.547 5.778 0.625
O 7.285 8.381 2.750
O 9.590 1.700 4.212
O 5.304 4.118 6.452
O 10.483 5.233 2.872
O 6.131 6.450 5.780
O 8.945 7.031 4.009
O 7.757 8.905 5.258
O 9.654 4.881 5.338
O 8.194 3.791 7.025
O 10.646 2.974 6.702
O 6.069 2.651 0.761
O 4.325 4.543 2.258
O 5.258 2.033 3.558
```

- VASP energy: -246.0 eV per formula unit
- N(E_F): 8.28 states/eV per cell